The following is a PBEsol calculation of a relaxed Zr2H2Ru crystal, from Alexandria.

## Properties
The calculation puts the magnetic moment at 0.00 μB/f.u. For the total energy, the calculation gives -7.59 eV per atom.

a = 3.177 Å, b = 3.177 Å, c = 12.021 Å
α = 90.00°, β = 90.00°, γ = 90.00°
Space group I4/mmm (No. 139)
Unique sites:
Zr  0.000  0.000  0.137 x4
H  0.000  0.500  0.250 x4
Ru  0.000  0.000  0.500 x2

=====

The following is a PBEsol calculation of a relaxed Ca2InRh crystal, from Alexandria.

## Properties
The calculation puts the magnetic moment at 0.00 μB/f.u. The value obtained for the energy of formation from the pure elements is -344 meV/atom. For the total energy, the calculation gives -4.19 eV per atom.

a = 4.363 Å, b = 4.224 Å, c = 11.034 Å
α = 90.00°, β = 90.00°, γ = 90.00°
Space group Amm2 (No. 38)
Unique sites:
Ca  0.000  0.000  0.000 x2
Ca  0.500  0.000  0.290 x2
In  0.000  0.000  0.707 x2
Rh  0.500  0.000  0.574 x2

=====

The following is a PBEsol calculation of a relaxed BaGe2Pb2 crystal, from Alexandria.

## Properties
The calculation puts the magnetic moment at 0.00 μB/f.u. The value obtained for the energy of formation from the pure elements is -270 meV/atom. For the total energy, the calculation gives -4.27 eV per atom.

a = 4.873 Å, b = 4.873 Å, c = 12.343 Å
α = 90.00°, β = 90.00°, γ = 90.00°
Space group I4/mmm (No. 139)
Unique sites:
Ba  0.000  0.000  0.000 x2
Ge  0.000  0.000  0.400 x4
Pb  0.000  0.500  0.250 x4

=====

The following is a PBEsol calculation of a relaxed Nb2CdIr2 crystal, from Alexandria.

## Properties
The calculation puts the magnetic moment at 0.00 μB/f.u. The value obtained for the energy of formation from the pure elements is -339 meV/atom. For the total energy, the calculation gives -8.84 eV per atom.

a = 7.679 Å, b = 7.679 Å, c = 2.900 Å
α = 90.00°, β = 90.00°, γ = 90.00°
Space group P4/mbm (No. 127)
Unique sites:
Nb  0.165  0.335  0.000 x4
Cd  0.000  0.000  0.500 x2
Ir  0.129  0.629  0.500 x4

=====

The following is a PBEsol calculation of a relaxed LiRuO2 crystal, from Alexandria.

## Properties
For the energy relative to the elements, uncorrected, the calculation gives -1.28 eV per atom. The calculation puts the magnetic moment at 0.00 μB/f.u. For the total energy, the calculation gives -6.94 eV per atom.

a = 4.918 Å, b = 5.077 Å, c = 2.738 Å
α = 90.00°, β = 90.00°, γ = 90.00°
Space group Pnnm (No. 58)
Unique sites:
Li  0.000  0.000  0.000 x2
Ru  0.000  0.500  0.000 x2
O  0.171  0.248  0.500 x4

=====

The following is a PBEsol calculation of a relaxed YErIr2 crystal, from Alexandria.

## Properties
The calculation puts the magnetic moment at 0.00 μB/f.u. The value obtained for the energy of formation from the pure elements is -813 meV/atom. For the total energy, the calculation gives -8.66 eV per atom.

a = 6.726 Å, b = 6.726 Å, c = 6.726 Å
α = 90.00°, β = 90.00°, γ = 90.00°
Space group Fm-3m (No. 225)
Unique sites:
Y  0.000  0.000  0.000 x4
Er  0.000  0.000  0.500 x4
Ir  0.250  0.250  0.250 x8

=====

The following is a PBEsol calculation of a relaxed Y4CuBr crystal, from Alexandria.

## Properties
For the energy relative to the elements, uncorrected, the calculation gives 0.55 eV per atom. The calculation puts the magnetic moment at 0.00 μB/f.u. For the total energy, the calculation gives -5.03 eV per atom.

a = 8.814 Å, b = 8.814 Å, c = 8.814 Å
α = 90.00°, β = 90.00°, γ = 90.00°
Space group F-43m (No. 216)
Unique sites:
Y  0.124  0.124  0.124 x16
Cu  0.250  0.250  0.750 x4
Br  0.000  0.000  0.500 x4

=====

The following is a PBEsol calculation of a relaxed HoP2Ru2 crystal, from Alexandria.

## Properties
The calculation puts the magnetic moment at 0.00 μB/f.u. The value obtained for the energy of formation from the pure elements is -1090 meV/atom. For the total energy, the calculation gives -8.47 eV per atom.

a = 3.997 Å, b = 3.997 Å, c = 9.429 Å
α = 90.00°, β = 90.00°, γ = 90.00°
Space group I4/mmm (No. 139)
Unique sites:
Ho  0.000  0.000  0.000 x2
P  0.000  0.000  0.376 x4
Ru  0.000  0.500  0.250 x4

=====

The following is a PBEsol calculation of a relaxed Ta2CrPb crystal, from Alexandria.

## Properties
The calculation puts the magnetic moment at 0.17 μB/f.u. The value obtained for the energy of formation from the pure elements is 446 meV/atom. For the total energy, the calculation gives -9.39 eV per atom.

a = 3.345 Å, b = 3.345 Å, c = 6.229 Å
α = 90.00°, β = 90.00°, γ = 90.00°
Space group P4/mmm (No. 123)
Unique sites:
Ta  0.000  0.000  0.212 x2
Cr  0.500  0.500  0.000 x1
Pb  0.500  0.500  0.500 x1

=====

The following is a PBEsol calculation of a relaxed ZnP2SeS crystal, from Alexandria.

## Properties
For the energy relative to the elements, uncorrected, the calculation gives 1.02 eV per atom. The calculation puts the magnetic moment at 0.00 μB/f.u. For the total energy, the calculation gives -3.26 eV per atom.

a = 4.693 Å, b = 4.693 Å, c = 4.769 Å
α = 90.00°, β = 90.00°, γ = 90.00°
Space group P4/mmm (No. 123)
Unique sites:
Zn  0.000  0.000  0.000 x1
P  0.000  0.500  0.500 x2
Se  0.500  0.500  0.500 x1
S  0.500  0.500  0.000 x1

=====

The following is a PBEsol calculation of a relaxed SrCd2Au crystal, from Alexandria.

## Properties
The calculation puts the magnetic moment at 0.00 μB/f.u. The value obtained for the energy of formation from the pure elements is -307 meV/atom. For the total energy, the calculation gives -2.35 eV per atom.

a = 3.935 Å, b = 4.859 Å, c = 5.496 Å
α = 90.00°, β = 102.50°, γ = 90.00°
Space group P2/m (No. 10)
Unique sites:
Sr  0.000  0.000  0.000 x1
Cd  0.379  0.500  0.725 x2
Au  0.500  0.000  0.500 x1

=====

The following is a PBEsol calculation of a relaxed Ge19As4Br4 crystal, from Alexandria.

## Properties
For the energy relative to the elements, uncorrected, the calculation gives -0.18 eV per atom. The calculation puts the magnetic moment at 0.00 μB/f.u. For the total energy, the calculation gives -4.69 eV per atom.

a = 10.532 Å, b = 10.532 Å, c = 10.532 Å
α = 90.00°, β = 90.00°, γ = 90.00°
Space group P-43n (No. 218)
Unique sites:
Ge  0.000  0.250  0.500 x6
Ge  0.003  0.117  0.689 x24
Ge  0.182  0.182  0.818 x8
As  0.184  0.184  0.184 x8
Br  0.000  0.000  0.000 x2
Br  0.000  0.500  0.250 x6

=====

The following is a PBEsol calculation of a relaxed LiFePO4 crystal, from Alexandria.

## Properties
For the energy relative to the elements, uncorrected, the calculation gives -1.86 eV per atom. The calculation puts the magnetic moment at 4.00 μB/f.u. For the total energy, the calculation gives -7.25 eV per atom. The value obtained for the energy above the most stable polymorph in this dataset is 53 meV/atom.

a = 5.143 Å, b = 9.032 Å, c = 8.513 Å
α = 90.00°, β = 90.84°, γ = 90.00°
Space group Cc (No. 9)
Unique sites:
Li  0.000  0.162  0.000 x4
Fe  0.013  0.337  0.304 x4
P  0.023  0.315  0.680 x4
O  0.100  0.472  0.730 x4
O  0.134  0.200  0.800 x4
O  0.144  0.282  0.517 x4
O  0.223  0.203  0.169 x4

=====

The following is a PBEsol calculation of a relaxed LaAlBr2 crystal, from Alexandria.

## Properties
For the energy relative to the elements, uncorrected, the calculation gives -0.87 eV per atom. The calculation puts the magnetic moment at 0.00 μB/f.u. For the total energy, the calculation gives -4.16 eV per atom. The value obtained for the energy above the most stable polymorph in this dataset is 0 meV/atom.

a = 5.158 Å, b = 5.522 Å, c = 7.618 Å
α = 90.00°, β = 90.00°, γ = 90.00°
Space group Cmm2 (No. 35)
Unique sites:
La  0.000  0.000  0.000 x2
Al  0.000  0.500  0.239 x2
Br  0.000  0.000  0.418 x2
Br  0.000  0.500  0.786 x2

=====

The following is a PBEsol calculation of a relaxed AlPPt2 crystal, from Alexandria.

## Properties
The calculation puts the magnetic moment at 0.00 μB/f.u. The value obtained for the energy of formation from the pure elements is -383 meV/atom. For the total energy, the calculation gives -6.34 eV per atom. The value obtained for the energy above the most stable polymorph in this dataset is 147 meV/atom.

a = 5.950 Å, b = 6.148 Å, c = 3.160 Å
α = 90.00°, β = 90.00°, γ = 90.00°
Space group Cmmm (No. 65)
Unique sites:
Al  0.000  0.000  0.000 x2
P  0.000  0.500  0.000 x2
Pt  0.250  0.250  0.500 x4

=====

The following is a PBEsol calculation of a relaxed Sn3BSe crystal, from Alexandria.

## Properties
For the energy relative to the elements, uncorrected, the calculation gives 0.45 eV per atom. The calculation puts the magnetic moment at 0.00 μB/f.u. For the total energy, the calculation gives -4.28 eV per atom.

a = 4.830 Å, b = 4.830 Å, c = 4.830 Å
α = 90.00°, β = 90.00°, γ = 90.00°
Space group Pm-3m (No. 221)
Unique sites:
Sn  0.000  0.000  0.500 x3
B  0.000  0.000  0.000 x1
Se  0.500  0.500  0.500 x1

=====

The following is a PBEsol calculation of a relaxed MoPRhC2 crystal, from Alexandria.

## Properties
The calculation puts the magnetic moment at 0.00 μB/f.u. The value obtained for the energy of formation from the pure elements is 1865 meV/atom. For the total energy, the calculation gives -7.13 eV per atom.

a = 3.811 Å, b = 3.811 Å, c = 5.303 Å
α = 90.00°, β = 90.00°, γ = 90.00°
Space group P4/mmm (No. 123)
Unique sites:
Mo  0.000  0.000  0.000 x1
P  0.500  0.500  0.500 x1
Rh  0.000  0.000  0.500 x1
C  0.000  0.500  0.000 x2

=====

The following is a PBEsol calculation of a relaxed BaTeW2 crystal, from Alexandria.

## Properties
For the energy relative to the elements, uncorrected, the calculation gives 1.45 eV per atom. The calculation puts the magnetic moment at 0.00 μB/f.u. For the total energy, the calculation gives -6.87 eV per atom.

a = 4.253 Å, b = 4.253 Å, c = 5.009 Å
α = 90.00°, β = 90.00°, γ = 90.00°
Space group P4/mmm (No. 123)
Unique sites:
Ba  0.000  0.000  0.000 x1
Te  0.500  0.500  0.000 x1
W  0.000  0.500  0.500 x2

=====

The following is a PBEsol calculation of a relaxed Hg2PBr crystal, from Alexandria.

## Properties
For the energy relative to the elements, uncorrected, the calculation gives 0.01 eV per atom. The calculation puts the magnetic moment at 0.00 μB/f.u. For the total energy, the calculation gives -2.19 eV per atom. The value obtained for the energy above the most stable polymorph in this dataset is 137 meV/atom.

a = 3.762 Å, b = 3.762 Å, c = 7.098 Å
α = 90.00°, β = 90.00°, γ = 90.00°
Space group P4mm (No. 99)
Unique sites:
Hg  0.000  0.000  0.000 x1
Hg  0.500  0.500  0.360 x1
P  0.000  0.000  0.345 x1
Br  0.500  0.500  0.807 x1

=====

The following is a PBEsol calculation of a relaxed CaCoHg3 crystal, from Alexandria.

## Properties
The calculation puts the magnetic moment at 0.59 μB/f.u. The value obtained for the energy of formation from the pure elements is -28 meV/atom. For the total energy, the calculation gives -2.34 eV per atom.

a = 4.911 Å, b = 4.911 Å, c = 4.911 Å
α = 90.00°, β = 90.00°, γ = 90.00°
Space group Pm-3m (No. 221)
Unique sites:
Ca  0.000  0.000  0.000 x1
Co  0.500  0.500  0.500 x1
Hg  0.000  0.500  0.500 x3

=====

The following is a PBEsol calculation of a relaxed TeOsCl2 crystal, from Alexandria.

## Properties
For the energy relative to the elements, uncorrected, the calculation gives 1.31 eV per atom. The calculation puts the magnetic moment at 0.00 μB/f.u. For the total energy, the calculation gives -3.63 eV per atom. The value obtained for the energy above the most stable polymorph in this dataset is 920 meV/atom.

a = 4.868 Å, b = 4.868 Å, c = 3.052 Å
α = 90.00°, β = 90.00°, γ = 90.00°
Space group P4/mmm (No. 123)
Unique sites:
Te  0.000  0.000  0.000 x1
Os  0.500  0.500  0.000 x1
Cl  0.000  0.500  0.500 x2

=====

The following is a PBEsol calculation of a relaxed CrSbBr2 crystal, from Alexandria.

## Properties
For the energy relative to the elements, uncorrected, the calculation gives 0.35 eV per atom. The calculation puts the magnetic moment at 3.85 μB/f.u. For the total energy, the calculation gives -4.28 eV per atom. The value obtained for the energy above the most stable polymorph in this dataset is 431 meV/atom.

a = 4.091 Å, b = 4.091 Å, c = 11.822 Å
α = 90.00°, β = 90.00°, γ = 90.00°
Space group I-4m2 (No. 119)
Unique sites:
Cr  0.000  0.000  0.000 x2
Sb  0.000  0.500  0.750 x2
Br  0.000  0.000  0.500 x2
Br  0.000  0.500  0.250 x2

=====

The following is a PBEsol calculation of a relaxed NpO2 crystal, from Alexandria.

## Properties
For the energy relative to the elements, uncorrected, the calculation gives -3.06 eV per atom. The calculation puts the magnetic moment at 3.00 μB/f.u. For the total energy, the calculation gives -11.17 eV per atom.

a = 5.319 Å, b = 5.319 Å, c = 5.319 Å
α = 90.00°, β = 90.00°, γ = 90.00°
Space group Fm-3m (No. 225)
Unique sites:
Np  0.000  0.000  0.000 x4
O  0.250  0.250  0.250 x8

=====

The following is a PBEsol calculation of a relaxed SrNi2Rh crystal, from Alexandria.

## Properties
The calculation puts the magnetic moment at 0.00 μB/f.u. The value obtained for the energy of formation from the pure elements is -33 meV/atom. For the total energy, the calculation gives -5.61 eV per atom. The value obtained for the energy above the most stable polymorph in this dataset is 21 meV/atom.

a = 4.1240 Å, b = 4.1240 Å, c = 15.4046 Å
α = 90.00°, β = 90.00°, γ = 120.00°
Space group R3m (No. 160, hexagonal axes)
Unique sites:
Sr  0.0000  0.0000  0.0000 x3
Ni  0.0000  0.0000  0.1854 x3
Ni  0.0000  0.0000  0.4952 x3
Rh  0.0000  0.0000  0.8129 x3

=====

The following is a PBEsol calculation of a relaxed YSeBr crystal, from Alexandria.

## Properties
For the energy relative to the elements, uncorrected, the calculation gives -1.83 eV per atom. The calculation puts the magnetic moment at 0.00 μB/f.u. For the total energy, the calculation gives -6.01 eV per atom.

a = 4.0766 Å, b = 4.0766 Å, c = 6.3338 Å
α = 90.00°, β = 90.00°, γ = 120.00°
Space group P3m1 (No. 156)
Unique sites:
Y  0.0000  0.0000  0.0000 x1
Se  0.3333  0.6667  0.2205 x1
Br  0.6667  0.3333  0.7232 x1